(1)
DFT (meta-GGA SCAN) results for a PBEsol-optimized structure of BaSc2Pb.

Unit cell a=11.072 b=3.420 c=6.214 alpha=90.00 beta=101.77 gamma=90.00
Space group C2/m (No. 12)
Symmetry-distinct sites (fractional):
Ba 0.000 0.000 0.000 [2 per cell]
Sc 0.226 0.000 0.705 [4 per cell]
Pb 0.000 0.500 0.500 [2 per cell]

## Properties
energy relative to the elements = -119 meV per atom

(2)
DFT (meta-GGA SCAN) results for a PBEsol-optimized structure of NbCdFe2S.

Unit cell a=4.073 b=4.073 c=4.886 alpha=90.00 beta=90.00 gamma=90.00
Space group P4/mmm (No. 123)
Symmetry-distinct sites (fractional):
Nb 0.000 0.000 0.000 [1 per cell]
Cd 0.500 0.500 0.000 [1 per cell]
Fe 0.000 0.500 0.500 [2 per cell]
S 0.500 0.500 0.500 [1 per cell]

## Properties
formation energy (no corrections) = 3.5 eV per formula unit

(3)
DFT (meta-GGA SCAN) results for a PBEsol-optimized structure of AlInTc2.

Unit cell a=3.153 b=3.153 c=6.172 alpha=90.00 beta=90.00 gamma=90.00
Space group P4/mmm (No. 123)
Symmetry-distinct sites (fractional):
Al 0.000 0.000 0.000 [1 per cell]
In 0.000 0.000 0.500 [1 per cell]
Tc 0.500 0.500 0.214 [2 per cell]

## Properties
energy relative to the elements = 0 meV per atom
polymorph energy (0 for the lowest one) = 0.000 eV/atom

(4)
DFT (meta-GGA SCAN) results for a PBEsol-optimized structure of SiTcSb2I.

Unit cell a=4.975 b=4.975 c=5.620 alpha=90.00 beta=90.00 gamma=90.00
Space group P4/mmm (No. 123)
Symmetry-distinct sites (fractional):
Si 0.000 0.000 0.000 [1 per cell]
Tc 0.500 0.500 0.500 [1 per cell]
Sb 0.000 0.500 0.500 [2 per cell]
I 0.500 0.500 0.000 [1 per cell]

## Properties
formation energy (no corrections) = 4.7 eV per formula unit

(5)
DFT (meta-GGA SCAN) results for a PBEsol-optimized structure of LaFeIr2.

Unit cell a=3.038 b=3.038 c=7.310 alpha=90.00 beta=90.00 gamma=90.00
Space group P4/mmm (No. 123)
Symmetry-distinct sites (fractional):
La 0.000 0.000 0.000 [1 per cell]
Fe 0.000 0.000 0.500 [1 per cell]
Ir 0.500 0.500 0.307 [2 per cell]

## Properties
energy relative to the elements = -257 meV per atom

(6)
DFT (meta-GGA SCAN) results for a PBEsol-optimized structure of Mg3NbIn.

Unit cell a=5.155 b=5.155 c=5.155 alpha=90.00 beta=90.00 gamma=90.00
Space group Pm-3m (No. 221)
Symmetry-distinct sites (fractional):
Mg 0.000 0.000 0.500 [3 per cell]
Nb 0.500 0.500 0.500 [1 per cell]
In 0.000 0.000 0.000 [1 per cell]

## Properties
energy relative to the elements = 917 meV per atom

(7)
DFT (meta-GGA SCAN) results for a PBEsol-optimized structure of SrZrZnPb2.

Unit cell a=5.320 b=5.320 c=5.157 alpha=90.00 beta=90.00 gamma=90.00
Space group P4/mmm (No. 123)
Symmetry-distinct sites (fractional):
Sr 0.000 0.000 0.000 [1 per cell]
Zr 0.500 0.500 0.000 [1 per cell]
Zn 0.500 0.500 0.500 [1 per cell]
Pb 0.000 0.500 0.500 [2 per cell]

## Properties
energy relative to the elements = 142 meV per atom

(8)
DFT (meta-GGA SCAN) results for a PBEsol-optimized structure of K3NaTa.

Unit cell a=6.300 b=6.300 c=6.300 alpha=90.00 beta=90.00 gamma=90.00
Space group Pm-3m (No. 221)
Symmetry-distinct sites (fractional):
K 0.000 0.000 0.500 [3 per cell]
Na 0.000 0.000 0.000 [1 per cell]
Ta 0.500 0.500 0.500 [1 per cell]

## Properties
energy relative to the elements = 1493 meV per atom

(9)
DFT (meta-GGA SCAN) results for a PBEsol-optimized structure of TaAlAu2.

Unit cell a=5.601 b=9.153 c=2.778 alpha=90.00 beta=109.57 gamma=90.00
Space group C2/m (No. 12)
Symmetry-distinct sites (fractional):
Ta 0.000 0.000 0.000 [2 per cell]
Al 0.000 0.500 0.000 [2 per cell]
Au 0.250 0.250 0.500 [4 per cell]

## Properties
energy relative to the elements = -83 meV per atom

(10)
DFT (meta-GGA SCAN) results for a PBEsol-optimized structure of ScTlAs2.

Unit cell a=3.946 b=5.732 c=3.945 alpha=90.00 beta=90.00 gamma=90.00
Space group Pmm2 (No. 25)
Symmetry-distinct sites (fractional):
Sc 0.000 0.000 0.000 [1 per cell]
Tl 0.500 0.500 0.496 [1 per cell]
As 0.000 0.500 0.996 [1 per cell]
As 0.500 0.000 0.500 [1 per cell]

## Properties
energy relative to the elements = -542 meV per atom
polymorph energy (0 for the lowest one) = 0.000 eV/atom

(11)
DFT (meta-GGA SCAN) results for a PBEsol-optimized structure of Li2WF2.

Unit cell a=3.426 b=3.426 c=11.585 alpha=90.00 beta=90.00 gamma=90.00
Space group I4/mmm (No. 139)
Symmetry-distinct sites (fractional):
Li 0.000 0.000 0.201 [4 per cell]
W 0.000 0.000 0.500 [2 per cell]
F 0.000 0.500 0.250 [4 per cell]

## Properties
formation energy (no corrections) = -4.3 eV per formula unit

(12)
DFT (meta-GGA SCAN) results for a PBEsol-optimized structure of BaLiBr.

Unit cell a=4.0856 b=4.0856 c=7.1141 alpha=90.00 beta=90.00 gamma=120.00
Space group P3m1 (No. 156)
Symmetry-distinct sites (fractional):
Ba 0.0000 0.0000 0.0000 [1 per cell]
Li 0.6667 0.3333 0.4648 [1 per cell]
Br 0.3333 0.6667 0.6518 [1 per cell]

## Properties
formation energy (no corrections) = -2.9 eV per formula unit

| no. | mass density (g cm⁻³) |
| --- | --- |
| 1 | 6.3 |
| 2 | 7.2 |
| 3 | 9.1 |
| 4 | 5.9 |
| 5 | 14.3 |
| 6 | 3.4 |
| 7 | 7.5 |
| 8 | 2.1 |
| 9 | 14.9 |
| 10 | 7.4 |
| 11 | 5.8 |
| 12 | 3.6 |